Compound: NiHgSe2N
Source: Alexandria
Functional: PBE
Structure: optimized geometry

Summary:
Total magnetic moment = 0.000 μB/cell
Formation energy from raw total energies = 0.5163 eV/atom
Raw total energy = -18.8 eV for the cell shown

```
data_NiHgSe2N
_symmetry_space_group_name_H-M 'P 4/m m m'
_symmetry_Int_Tables_number 123
_symmetry_space_group_name_Hall '-P 4 2'
_cell_length_a 5.163
_cell_length_b 5.163
_cell_length_c 3.412
_cell_angle_alpha 90.00
_cell_angle_beta 90.00
_cell_angle_gamma 90.00
loop_
_atom_site_label
_atom_site_fract_x
_atom_site_fract_y
_atom_site_fract_z
Ni1 0.000 0.000 0.000
Hg1 0.500 0.500 0.500
Se1 0.000 0.500 0.000
N1 0.000 0.000 0.500
```

Compound: NiHgSeN2
Source: Alexandria
Functional: PBE
Structure: optimized geometry

Summary:
Total magnetic moment = 4.671 μB/cell
Formation energy from raw total energies = 2.1432 eV/atom
Raw total energy = -15.5 eV for the cell shown

```
data_NiHgSeN2
_symmetry_space_group_name_H-M 'P 4/m m m'
_symmetry_Int_Tables_number 123
_symmetry_space_group_name_Hall '-P 4 2'
_cell_length_a 4.103
_cell_length_b 4.103
_cell_length_c 5.964
_cell_angle_alpha 90.00
_cell_angle_beta 90.00
_cell_angle_gamma 90.00
loop_
_atom_site_label
_atom_site_fract_x
_atom_site_fract_y
_atom_site_fract_z
Ni1 0.000 0.000 0.000
Hg1 0.500 0.500 0.500
Se1 0.500 0.500 0.000
N1 0.000 0.500 0.500
```

Compound: NiHgSeN2
Source: Alexandria
Functional: PBE
Structure: optimized geometry

Summary:
Total magnetic moment = 3.816 μB/cell
Formation energy from raw total energies = 1.1645 eV/atom
Raw total energy = -20.4 eV for the cell shown

```
data_NiHgSeN2
_symmetry_space_group_name_H-M 'P 4/m m m'
_symmetry_Int_Tables_number 123
_symmetry_space_group_name_Hall '-P 4 2'
_cell_length_a 3.803
_cell_length_b 3.803
_cell_length_c 5.531
_cell_angle_alpha 90.00
_cell_angle_beta 90.00
_cell_angle_gamma 90.00
loop_
_atom_site_label
_atom_site_fract_x
_atom_site_fract_y
_atom_site_fract_z
Ni1 0.000 0.000 0.000
Hg1 0.500 0.500 0.500
Se1 0.000 0.000 0.500
N1 0.000 0.500 0.000
```

Compound: TcNi2HgN
Source: Alexandria
Functional: PBE
Structure: optimized geometry

Summary:
Total magnetic moment = 0.000 μB/cell
Formation energy from raw total energies = 0.1154 eV/atom
Raw total energy = -30.0 eV for the cell shown

```
data_TcNi2HgN
_symmetry_space_group_name_H-M 'P 4/m m m'
_symmetry_Int_Tables_number 123
_symmetry_space_group_name_Hall '-P 4 2'
_cell_length_a 3.981
_cell_length_b 3.981
_cell_length_c 3.975
_cell_angle_alpha 90.00
_cell_angle_beta 90.00
_cell_angle_gamma 90.00
loop_
_atom_site_label
_atom_site_fract_x
_atom_site_fract_y
_atom_site_fract_z
Tc1 0.000 0.000 0.000
Ni1 0.000 0.500 0.500
Hg1 0.500 0.500 0.000
N1 0.000 0.000 0.500
```

Compound: NiHgTeN2
Source: Alexandria
Functional: PBE
Structure: optimized geometry

Summary:
Total magnetic moment = 4.164 μB/cell
Formation energy from raw total energies = 2.0632 eV/atom
Raw total energy = -15.6 eV for the cell shown

```
data_NiHgTeN2
_symmetry_space_group_name_H-M 'P 4/m m m'
_symmetry_Int_Tables_number 123
_symmetry_space_group_name_Hall '-P 4 2'
_cell_length_a 4.121
_cell_length_b 4.121
_cell_length_c 6.400
_cell_angle_alpha 90.00
_cell_angle_beta 90.00
_cell_angle_gamma 90.00
loop_
_atom_site_label
_atom_site_fract_x
_atom_site_fract_y
_atom_site_fract_z
Ni1 0.000 0.000 0.000
Hg1 0.500 0.500 0.500
Te1 0.500 0.500 0.000
N1 0.000 0.500 0.500
```

Compound: NiHgTeN2
Source: Alexandria
Functional: PBE
Structure: optimized geometry

Summary:
Total magnetic moment = 3.711 μB/cell
Formation energy from raw total energies = 1.2482 eV/atom
Raw total energy = -19.6 eV for the cell shown

```
data_NiHgTeN2
_symmetry_space_group_name_H-M 'P 4/m m m'
_symmetry_Int_Tables_number 123
_symmetry_space_group_name_Hall '-P 4 2'
_cell_length_a 3.949
_cell_length_b 3.949
_cell_length_c 5.588
_cell_angle_alpha 90.00
_cell_angle_beta 90.00
_cell_angle_gamma 90.00
loop_
_atom_site_label
_atom_site_fract_x
_atom_site_fract_y
_atom_site_fract_z
Ni1 0.000 0.000 0.000
Hg1 0.500 0.500 0.500
Te1 0.000 0.000 0.500
N1 0.000 0.500 0.000
```

Compound: NiHgWN2
Source: Alexandria
Functional: PBE
Structure: optimized geometry

Summary:
Total magnetic moment = 0.000 μB/cell
Formation energy from raw total energies = 0.6431 eV/atom
Raw total energy = -32.5 eV for the cell shown

```
data_NiHgWN2
_symmetry_space_group_name_H-M 'P 4/m m m'
_symmetry_Int_Tables_number 123
_symmetry_space_group_name_Hall '-P 4 2'
_cell_length_a 3.899
_cell_length_b 3.899
_cell_length_c 5.111
_cell_angle_alpha 90.00
_cell_angle_beta 90.00
_cell_angle_gamma 90.00
loop_
_atom_site_label
_atom_site_fract_x
_atom_site_fract_y
_atom_site_fract_z
Ni1 0.000 0.000 0.000
Hg1 0.500 0.500 0.000
W1 0.000 0.000 0.500
N1 0.000 0.500 0.500
```

Compound: Y2NiHgN
Source: Alexandria
Functional: PBE
Structure: optimized geometry

Summary:
Total magnetic moment = 0.001 μB/cell
Formation energy from raw total energies = -0.7355 eV/atom
Raw total energy = -31.0 eV for the cell shown

```
data_Y2NiHgN
_symmetry_space_group_name_H-M 'P 4/m m m'
_symmetry_Int_Tables_number 123
_symmetry_space_group_name_Hall '-P 4 2'
_cell_length_a 4.942
_cell_length_b 4.942
_cell_length_c 3.801
_cell_angle_alpha 90.00
_cell_angle_beta 90.00
_cell_angle_gamma 90.00
loop_
_atom_site_label
_atom_site_fract_x
_atom_site_fract_y
_atom_site_fract_z
Y1 0.000 0.500 0.000
Ni1 0.000 0.000 0.500
Hg1 0.500 0.500 0.500
N1 0.000 0.000 0.000
```